Entry P
This record from Alexandria describes an optimized crystal structure of BeNi3Au. The functional is PBE-GGA.

Cell: 3.9386 3.9386 3.9386 Å, 90.00 90.00 90.00°
Sites, in units of the cell vectors:
Be (0.0000, 0.0000, 0.0000)
Ni (0.0000, 0.0000, 0.5000)
Ni (0.0000, 0.5000, 0.0000)
Ni (0.5000, 0.0000, 0.0000)
Au (0.5000, 0.5000, 0.5000)

Properties
DOS at the Fermi energy in states/eV/cell: 3.72

***

Entry Q
This record from Alexandria describes an optimized crystal structure of BeNi3Au. The functional is PBE-GGA.

Cell: 4.6415 4.6415 4.6415 Å, 90.00 90.00 90.00°
Sites, in units of the cell vectors:
Be (0.0000, 0.0000, 0.0000)
Ni (0.0000, 0.5000, 0.5000)
Ni (0.5000, 0.0000, 0.5000)
Ni (0.5000, 0.5000, 0.0000)
Au (0.5000, 0.5000, 0.5000)

Properties
DOS at the Fermi energy in states/eV/cell: 7.60

***

Which one is the least stable? From the structures above, entry Q.